First-principles (GGA-PBE) data for a relaxed Nd2ThHg crystal, as listed in Alexandria via LeMat-Bulk.

The calculated density is 9.42 g cm⁻³. The energy of formation comes out at -102 meV/atom. The polymorph energy (0 for the lowest one) is 0.1340 eV per atom. The calculation puts the density of states at the Fermi level at 1.456 states/eV/atom. The value obtained for the spin magnetization is 0.00 μB/f.u. The calculation puts the total energy at -4.42 eV per atom.

The structure belongs to space group R3m (No. 160, hexagonal axes); the cell edges are 3.6602, 3.6602 and 32.8594 Å and the angles 90.00°, 90.00° and 120.00°. The asymmetric unit holds Nd at (0.0000, 0.0000, 0.0000), Nd at (0.0000, 0.0000, 0.1790), Th at (0.0000, 0.0000, 0.7561) and Hg at (0.0000, 0.0000, 0.5896).